First-principles (PBE-GGA) data for a relaxed structure of BaLiV3, as listed in the Alexandria database.

## Properties
Calculated volume (Å³ per cell): 112.4
E above lowest polymorph (eV per atom): 0.956
M_tot (μB per formula unit): 0.00
Raw total energy (eV/atom): -3.935
E_form (meV/atom): 2304

Structure (POSCAR):
```
BaLiV3
1.0
4.8259 0.0000 0.0000
0.0000 4.8259 0.0000
0.0000 0.0000 4.8259
Ba Li V
1 1 3
Direct
0.0000 0.0000 0.0000
0.5000 0.5000 0.5000
0.0000 0.0000 0.5000
0.0000 0.5000 0.0000
0.5000 0.0000 0.0000
```

***

First-principles (PBE-GGA) data for a relaxed structure of BaLiV, as listed in the Alexandria database.

## Properties
Calculated volume (Å³ per cell): 207.7
E above lowest polymorph (eV per atom): 0.636
M_tot (μB per formula unit): 4.18
Raw total energy (eV/atom): -3.224
E_form (meV/atom): 1095

Structure (POSCAR):
```
BaLiV
1.0
4.9988 0.0000 0.0000
0.0000 4.9988 0.0000
0.0000 0.0000 8.3123
Ba Li V
2 2 2
Direct
0.2500 0.7500 0.0000
0.7500 0.2500 0.0000
0.2500 0.2500 0.3420
0.7500 0.7500 0.6580
0.2500 0.2500 0.6973
0.7500 0.7500 0.3027
```

***

First-principles (PBE-GGA) data for a relaxed structure of BaLiV, as listed in the Alexandria database.

## Properties
Calculated volume (Å³ per cell): 184.7
E above lowest polymorph (eV per atom): 0.000
M_tot (μB per formula unit): 0.00
Raw total energy (eV/atom): -3.860
E_form (meV/atom): 459

Structure (POSCAR):
```
BaLiV
1.0
3.4685 -2.5052 0.0000
3.4685 2.5052 0.0000
-3.4592 0.0000 10.6253
Ba Li V
2 2 2
Direct
0.1609 0.1609 0.3243
0.8391 0.8391 0.6757
0.4418 0.4418 0.8825
0.5582 0.5582 0.1175
0.1346 0.1346 0.0000
0.8654 0.8654 0.0000
```

***

First-principles (PBE-GGA) data for a relaxed structure of BaLiV, as listed in the Alexandria database.

## Properties
Calculated volume (Å³ per cell): 169.8
E above lowest polymorph (eV per atom): 0.096
M_tot (μB per formula unit): 0.00
Raw total energy (eV/atom): -3.763
E_form (meV/atom): 555

Structure (POSCAR):
```
BaLiV
1.0
3.3890 0.0000 0.0000
1.0176 6.1172 0.0000
1.3512 0.4760 8.1886
Ba Li V
2 2 2
Direct
0.0000 0.0000 0.0000
0.0485 0.5294 0.7045
0.3056 0.4480 0.1870
0.5256 0.7724 0.3641
0.5825 0.0564 0.6055
0.8792 0.1690 0.4168
```

***

First-principles (PBE-GGA) data for a relaxed structure of BaLiV, as listed in the Alexandria database.

## Properties
Calculated volume (Å³ per cell): 384.3
E above lowest polymorph (eV per atom): 1.448
M_tot (μB per formula unit): 5.44
Raw total energy (eV/atom): -2.412
E_form (meV/atom): 1907

Structure (POSCAR):
```
BaLiV
1.0
5.9389 0.0000 0.0000
-2.9694 5.1432 0.0000
0.0000 0.0000 12.5804
Ba Li V
2 2 2
Direct
0.0000 0.0000 0.2500
0.0000 0.0000 0.7500
0.3333 0.6667 0.2500
0.6667 0.3333 0.7500
0.0000 0.0000 0.0000
0.0000 0.0000 0.5000
```

***

First-principles (PBE-GGA) data for a relaxed structure of BaLiV, as listed in the Alexandria database.

## Properties
Calculated volume (Å³ per cell): 170.8
E above lowest polymorph (eV per atom): 0.063
M_tot (μB per formula unit): 0.00
Raw total energy (eV/atom): -3.797
E_form (meV/atom): 522

Structure (POSCAR):
```
BaLiV
1.0
3.4120 0.0000 0.0000
-0.6937 6.2320 0.0000
-0.7247 -2.5633 8.0325
Ba Li V
2 2 2
Direct
0.0406 0.0113 0.2347
0.9594 0.9887 0.7653
0.2569 0.5768 0.3734
0.7431 0.4232 0.6266
0.3594 0.5700 0.9335
0.6406 0.4300 0.0665
```

***

First-principles (PBE-GGA) data for a relaxed structure of BaLiV, as listed in the Alexandria database.

## Properties
Calculated volume (Å³ per cell): 201.5
E above lowest polymorph (eV per atom): 0.317
M_tot (μB per formula unit): 0.00
Raw total energy (eV/atom): -3.543
E_form (meV/atom): 776

Structure (POSCAR):
```
BaLiV
1.0
5.4063 0.0000 0.0000
-2.7031 4.6820 0.0000
0.0000 0.0000 7.9612
Ba Li V
2 2 2
Direct
0.0000 0.0000 0.2455
0.0000 0.0000 0.7545
0.3333 0.6667 0.0000
0.3333 0.6667 0.5000
0.6667 0.3333 0.1145
0.6667 0.3333 0.8855
```

***

First-principles (PBE-GGA) data for a relaxed structure of Ba3LiV, as listed in the Alexandria database.

## Properties
Calculated volume (Å³ per cell): 244.3
M_tot (μB per formula unit): 4.96
Raw total energy (eV/atom): -2.536
E_form (meV/atom): 824

Structure (POSCAR):
```
Ba3LiV
1.0
6.2516 0.0000 0.0000
0.0000 6.2516 0.0000
0.0000 0.0000 6.2516
Ba Li V
3 1 1
Direct
0.0000 0.0000 0.5000
0.0000 0.5000 0.0000
0.5000 0.0000 0.0000
0.0000 0.0000 0.0000
0.5000 0.5000 0.5000
```

***

First-principles (PBE-GGA) data for a relaxed structure of BaLiV, as listed in the Alexandria database.

## Properties
Calculated volume (Å³ per cell): 196.9
E above lowest polymorph (eV per atom): 0.347
M_tot (μB per formula unit): 4.59
Raw total energy (eV/atom): -3.512
E_form (meV/atom): 806

Structure (POSCAR):
```
BaLiV
1.0
5.1384 0.0000 0.0000
-2.5692 4.4500 0.0000
0.0000 0.0000 8.6089
Ba Li V
2 2 2
Direct
0.0000 0.0000 0.0000
0.0000 0.0000 0.5000
0.3333 0.6667 0.2500
0.6667 0.3333 0.7500
0.3333 0.6667 0.7500
0.6667 0.3333 0.2500
```

***

First-principles (PBE-GGA) data for a relaxed structure of BaLi3V, as listed in the Alexandria database.

## Properties
Calculated volume (Å³ per cell): 149.7
E above lowest polymorph (eV per atom): 0.000
M_tot (μB per formula unit): 6.19
Raw total energy (eV/atom): -2.775
E_form (meV/atom): 581

Structure (POSCAR):
```
BaLi3V
1.0
5.3100 0.0000 0.0000
0.0000 5.3100 0.0000
0.0000 0.0000 5.3100
Ba Li V
1 3 1
Direct
0.0000 0.0000 0.0000
0.0000 0.5000 0.5000
0.5000 0.0000 0.5000
0.5000 0.5000 0.0000
0.5000 0.5000 0.5000
```

***

First-principles (PBE-GGA) data for a relaxed structure of Ba2LiV, as listed in the Alexandria database.

## Properties
Calculated volume (Å³ per cell): 151.6
E above lowest polymorph (eV per atom): 0.000
M_tot (μB per formula unit): 4.97
Raw total energy (eV/atom): -3.187
E_form (meV/atom): 533

Structure (POSCAR):
```
Ba2LiV
1.0
0.0000 4.2318 4.2318
4.2318 0.0000 4.2318
4.2318 4.2318 0.0000
Ba Li V
2 1 1
Direct
0.2500 0.2500 0.2500
0.7500 0.7500 0.7500
0.0000 0.0000 0.0000
0.5000 0.5000 0.5000
```

***

First-principles (PBE-GGA) data for a relaxed structure of BaLiV, as listed in the Alexandria database.

## Properties
Calculated volume (Å³ per cell): 199.7
E above lowest polymorph (eV per atom): 0.416
M_tot (μB per formula unit): 4.53
Raw total energy (eV/atom): -3.444
E_form (meV/atom): 875

Structure (POSCAR):
```
BaLiV
1.0
5.7953 0.0000 0.0000
-2.8977 5.0189 0.0000
0.0000 0.0000 6.8654
Ba Li V
2 2 2
Direct
0.3333 0.6667 0.2500
0.6667 0.3333 0.7500
0.0000 0.0000 0.0000
0.0000 0.0000 0.5000
0.3333 0.6667 0.7500
0.6667 0.3333 0.2500
```